A geometry-optimized LaEr8Tm6 structure. Source: the Alexandria database, functional PBE.

Results
As for the crystal system: trigonal. The calculation puts the calculated volume at 31.32 A^3/atom. For the energy above the most stable polymorph in this dataset, the calculation gives 0.0 kJ/mol of atoms.

Cell: 8.5455 8.5455 8.5455 Å, 62.92 62.92 62.92°
Sites, in units of the cell vectors:
1 La 0.0000 0.0000 0.0000
2 Er 0.1107 0.7447 0.7187
3 Er 0.2553 0.2813 0.8893
4 Er 0.2813 0.8893 0.2553
5 Er 0.4233 0.4233 0.4233
6 Er 0.5767 0.5767 0.5767
7 Er 0.7187 0.1107 0.7447
8 Er 0.7447 0.7187 0.1107
9 Er 0.8893 0.2553 0.2813
10 Tm 0.1063 0.2352 0.5357
11 Tm 0.2352 0.5357 0.1063
12 Tm 0.4643 0.8937 0.7648
13 Tm 0.5357 0.1063 0.2352
14 Tm 0.7648 0.4643 0.8937
15 Tm 0.8937 0.7648 0.4643

A geometry-optimized La5Er2Tm6 structure. Source: the Alexandria database, functional PBE.

Results
As for the crystal system: orthorhombic. As for the total energy: -0.1676 hartree per atom. The calculation puts the calculated volume at 33.21 A^3/atom.

Cell: 11.6026 20.6269 3.6075 Å, 90.00 90.00 90.00°
Sites, in units of the cell vectors:
1 La 0.0000 0.0000 0.0000
2 La 0.0772 0.2710 0.0000
3 La 0.1990 0.5493 0.0000
4 La 0.3010 0.0493 0.0000
5 La 0.4228 0.7710 0.0000
6 La 0.5000 0.5000 0.0000
7 La 0.5772 0.2290 0.0000
8 La 0.6990 0.9507 0.0000
9 La 0.8010 0.4507 0.0000
10 La 0.9228 0.7290 0.0000
11 Er 0.1751 0.7107 0.5000
12 Er 0.3249 0.2107 0.5000
13 Er 0.6751 0.7893 0.5000
14 Er 0.8249 0.2893 0.5000
15 Tm 0.0644 0.4181 0.5000
16 Tm 0.0781 0.1314 0.5000
17 Tm 0.1772 0.8596 0.0000
18 Tm 0.3228 0.3596 0.0000
19 Tm 0.4219 0.6314 0.5000
20 Tm 0.4356 0.9181 0.5000
21 Tm 0.5644 0.0819 0.5000
22 Tm 0.5781 0.3686 0.5000
23 Tm 0.6772 0.6404 0.0000
24 Tm 0.8228 0.1404 0.0000
25 Tm 0.9219 0.8686 0.5000
26 Tm 0.9356 0.5819 0.5000

A geometry-optimized La3ErTm6 structure. Source: the Alexandria database, functional PBE.

Results
As for the crystal system: orthorhombic. The calculation puts the calculated volume at 32.81 A^3/atom. For the energy above the most stable polymorph in this dataset, the calculation gives 0.0 kJ/mol of atoms.

Cell: 10.9889 10.9889 6.2471 Å, 90.00 90.00 119.55°
Sites, in units of the cell vectors:
1 La 0.1095 0.8905 0.5000
2 La 0.2170 0.4402 0.9030
3 La 0.4402 0.2170 0.4030
4 La 0.5598 0.7830 0.9030
5 La 0.7830 0.5598 0.4030
6 La 0.8905 0.1095 0.0000
7 Er 0.2973 0.7027 0.5703
8 Er 0.7027 0.2973 0.0703
9 Tm 0.0368 0.4600 0.3085
10 Tm 0.1170 0.2138 0.4779
11 Tm 0.2138 0.1170 0.9779
12 Tm 0.2210 0.7790 0.0722
13 Tm 0.4566 0.5434 0.3411
14 Tm 0.4600 0.0368 0.8085
15 Tm 0.5400 0.9632 0.3085
16 Tm 0.5434 0.4566 0.8411
17 Tm 0.7790 0.2210 0.5722
18 Tm 0.7862 0.8830 0.4779
19 Tm 0.8830 0.7862 0.9779
20 Tm 0.9632 0.5400 0.8085

A geometry-optimized La4Er3Tm4 structure. Source: the Alexandria database, functional PBE.

Results
As for the crystal system: triclinic. The calculation puts the calculated volume at 32.40 A^3/atom. For the energy above the most stable polymorph in this dataset, the calculation gives 2.3 kJ/mol of atoms.

Cell: 3.5048 5.6834 18.2011 Å, 98.97 95.52 90.00°
Sites, in units of the cell vectors:
1 La 0.0921 0.0916 0.1837
2 La 0.2306 0.7305 0.4610
3 La 0.7694 0.2695 0.5390
4 La 0.9079 0.9084 0.8163
5 Er 0.3635 0.3641 0.7275
6 Er 0.5000 0.0000 0.0000
7 Er 0.6365 0.6359 0.2725
8 Tm 0.0452 0.5446 0.0896
9 Tm 0.1815 0.1814 0.3628
10 Tm 0.8185 0.8186 0.6372
11 Tm 0.9548 0.4554 0.9104

A geometry-optimized La4Er4Tm3 structure. Source: the Alexandria database, functional PBE.

Results
As for the crystal system: orthorhombic. The calculation puts the calculated volume at 33.80 A^3/atom. For the energy above the most stable polymorph in this dataset, the calculation gives 4.6 kJ/mol of atoms.

Cell: 12.0326 12.0326 12.0326 Å, 162.77 133.78 49.69°
Sites, in units of the cell vectors:
1 La 0.0253 0.8552 0.1700
2 La 0.3148 0.1448 0.1700
3 La 0.6852 0.8552 0.8300
4 La 0.9748 0.1448 0.8300
5 Er 0.2661 0.7661 0.5000
6 Er 0.3155 0.0000 0.3155
7 Er 0.6845 0.0000 0.6845
8 Er 0.7339 0.2339 0.5000
9 Tm 0.0000 0.5000 0.5000
10 Tm 0.3963 0.3963 0.0000
11 Tm 0.6037 0.6037 0.0000

A geometry-optimized LaEr7Tm2 structure. Source: the Alexandria database, functional PBE.

Results
As for the crystal system: orthorhombic. The calculation puts the calculated volume at 38.92 A^3/atom. For the energy above the most stable polymorph in this dataset, the calculation gives 65.0 kJ/mol of atoms.

Cell: 9.0606 9.0606 5.6254 Å, 90.00 90.00 122.56°
Sites, in units of the cell vectors:
1 La 0.0000 0.0000 0.0000
2 Er 0.0593 0.2942 0.5000
3 Er 0.2205 0.7795 0.0000
4 Er 0.2942 0.0593 0.5000
5 Er 0.5000 0.5000 0.5000
6 Er 0.7058 0.9407 0.5000
7 Er 0.7795 0.2205 0.0000
8 Er 0.9407 0.7058 0.5000
9 Tm 0.2968 0.7032 0.5000
10 Tm 0.7032 0.2968 0.5000

A geometry-optimized LaEr2Tm structure. Source: the Alexandria database, functional PBE.

Results
As for the crystal system: monoclinic. The calculation puts the calculated volume at 33.05 A^3/atom. For the energy above the most stable polymorph in this dataset, the calculation gives 19.8 kJ/mol of atoms.

Cell: 6.9114 6.8557 11.1601 Å, 90.00 90.05 90.00°
Sites, in units of the cell vectors:
1 La 0.1266 0.1325 0.3943
2 La 0.1266 0.8675 0.8943
3 La 0.8734 0.1325 0.1057
4 La 0.8734 0.8675 0.6057
5 Er 0.1265 0.3720 0.8850
6 Er 0.1265 0.6280 0.3850
7 Er 0.3752 0.1233 0.1142
8 Er 0.3752 0.8767 0.6142
9 Er 0.6248 0.1233 0.3858
10 Er 0.6248 0.8767 0.8858
11 Er 0.8735 0.3720 0.6150
12 Er 0.8735 0.6280 0.1150
13 Tm 0.3788 0.3812 0.6144
14 Tm 0.3788 0.6188 0.1144
15 Tm 0.6212 0.3812 0.8856
16 Tm 0.6212 0.6188 0.3856

A geometry-optimized LaEr5Tm12 structure. Source: the Alexandria database, functional PBE.

Results
As for the crystal system: monoclinic. As for the total energy: -0.1656 hartree per atom. The calculation puts the calculated volume at 30.45 A^3/atom.

Cell: 6.0926 6.0926 17.1700 Å, 93.41 93.41 119.98°
Sites, in units of the cell vectors:
1 La 0.0000 0.0000 0.0000
2 Er 0.1664 0.8336 0.5000
3 Er 0.3333 0.6667 0.0000
4 Er 0.5000 0.5000 0.5000
5 Er 0.6667 0.3333 0.0000
6 Er 0.8336 0.1664 0.5000
7 Tm 0.0566 0.3915 0.1683
8 Tm 0.1108 0.1108 0.3321
9 Tm 0.2222 0.5554 0.6672
10 Tm 0.2784 0.2784 0.8318
11 Tm 0.3915 0.0566 0.1683
12 Tm 0.4446 0.7778 0.3328
13 Tm 0.5554 0.2222 0.6672
14 Tm 0.6085 0.9434 0.8317
15 Tm 0.7216 0.7216 0.1682
16 Tm 0.7778 0.4446 0.3328
17 Tm 0.8892 0.8892 0.6679
18 Tm 0.9434 0.6085 0.8317

A geometry-optimized La7Er3Tm2 structure. Source: the Alexandria database, functional PBE.

Results
As for the crystal system: monoclinic. As for the total energy: -0.1723 hartree per atom. The calculation puts the calculated volume at 34.05 A^3/atom.

Cell: 6.4996 3.5648 17.7188 Å, 90.00 95.64 90.00°
Sites, in units of the cell vectors:
1 La 0.0000 0.0000 0.0000
2 La 0.2266 0.5000 0.1735
3 La 0.2624 0.5000 0.4906
4 La 0.2763 0.0000 0.8318
5 La 0.7237 0.0000 0.1682
6 La 0.7376 0.5000 0.5094
7 La 0.7734 0.5000 0.8265
8 Er 0.4584 0.0000 0.3380
9 Er 0.5000 0.5000 0.0000
10 Er 0.5416 0.0000 0.6620
11 Tm 0.0582 0.5000 0.6697
12 Tm 0.9418 0.5000 0.3303

A geometry-optimized La2Er5Tm structure. Source: the Alexandria database, functional PBE.

Results
As for the crystal system: orthorhombic. The calculation puts the calculated volume at 32.15 A^3/atom. For the energy above the most stable polymorph in this dataset, the calculation gives 0.2 kJ/mol of atoms.

Cell: 7.1317 14.2613 5.0573 Å, 90.00 90.00 90.00°
Sites, in units of the cell vectors:
1 La 0.2491 0.1248 0.0000
2 La 0.2509 0.6248 0.0000
3 La 0.7491 0.3752 0.0000
4 La 0.7509 0.8752 0.0000
5 Er 0.0000 0.5000 0.5000
6 Er 0.0010 0.7501 0.5000
7 Er 0.2490 0.3749 0.0000
8 Er 0.2510 0.8749 0.0000
9 Er 0.4990 0.2501 0.5000
10 Er 0.5000 0.0000 0.5000
11 Er 0.5010 0.7499 0.5000
12 Er 0.7490 0.1251 0.0000
13 Er 0.7510 0.6251 0.0000
14 Er 0.9990 0.2499 0.5000
15 Tm 0.0000 0.0000 0.5000
16 Tm 0.5000 0.5000 0.5000

A geometry-optimized LaEr2Tm2 structure. Source: the Alexandria database, functional PBE.

Results
As for the crystal system: tetragonal. The calculation puts the calculated volume at 31.63 A^3/atom. For the energy above the most stable polymorph in this dataset, the calculation gives 0.0 kJ/mol of atoms.

Cell: 12.7958 12.7958 12.7958 Å, 164.05 164.05 22.63°
Sites, in units of the cell vectors:
1 La 0.0000 0.0000 0.0000
2 Er 0.2009 0.2009 0.0000
3 Er 0.7991 0.7991 0.0000
4 Tm 0.3961 0.3961 0.0000
5 Tm 0.6039 0.6039 0.0000

A geometry-optimized La4ErTm structure. Source: the Alexandria database, functional PBE.

Results
As for the crystal system: monoclinic. The calculation puts the calculated volume at 35.07 A^3/atom. For the energy above the most stable polymorph in this dataset, the calculation gives 10.4 kJ/mol of atoms.

Cell: 6.8366 10.3037 6.7832 Å, 90.00 118.26 90.00°
Sites, in units of the cell vectors:
1 La 0.2471 0.1815 0.2480
2 La 0.2471 0.3185 0.7480
3 La 0.2523 0.6818 0.7537
4 La 0.2523 0.8182 0.2537
5 La 0.7477 0.1818 0.7463
6 La 0.7477 0.3182 0.2463
7 La 0.7529 0.6815 0.2520
8 La 0.7529 0.8185 0.7520
9 Er 0.5000 0.0000 0.0000
10 Er 0.5000 0.5000 0.5000
11 Tm 0.0000 0.0000 0.5000
12 Tm 0.0000 0.5000 0.0000

Size of the total moment values, unit μB per formula unit, following the record order: 0.00, 0.00, 0.00, 0.00, 0.00, 0.00, 0.00, 0.00, 0.00, 0.00, 0.00, 0.00.